(1)
TbCu12Ge4 (PBE-GGA, relaxed); space group = Im-3; calculated formation energy = 0.304 eV per atom
1.0
-4.1312 4.1312 4.1312
4.1312 -4.1312 4.1312
4.1312 4.1312 -4.1312
Tb Cu Ge
1 12 4
direct
0.0000 0.0000 0.0000
0.1492 0.5039 0.3548
0.1492 0.7944 0.6452
0.2056 0.3548 0.8508
0.3548 0.1492 0.5039
0.3548 0.8508 0.2056
0.4961 0.6452 0.8508
0.5039 0.3548 0.1492
0.6452 0.1492 0.7944
0.6452 0.8508 0.4961
0.7944 0.6452 0.1492
0.8508 0.2056 0.3548
0.8508 0.4961 0.6452
0.0000 0.0000 0.5000
0.0000 0.5000 0.0000
0.5000 0.0000 0.0000
0.5000 0.5000 0.5000



(2)
V4FeSi (PBE-GGA, relaxed); space group = I4_1md; formation energy without anion corrections = 0.602 eV/atom
1.0
-3.3282 3.3282 4.2341
3.3282 -3.3282 4.2341
3.3282 3.3282 -4.2341
V Fe Si
8 2 2
direct
0.1478 0.4868 0.6610
0.2368 0.0758 0.8390
0.2368 0.3978 0.1610
0.3209 0.0000 0.3209
0.6791 0.0000 0.6791
0.7500 0.5709 0.8209
0.7500 0.9291 0.1791
0.8258 0.4868 0.3390
0.7334 0.2334 0.5000
0.9834 0.9834 0.0000
0.2462 0.7462 0.5000
0.4962 0.4962 0.0000



(3)
UTaW (PBE-GGA, relaxed); space group = I4/mmm; calculated formation energy = 0.606 eV per atom
1.0
3.3905 0.0000 0.0000
0.0000 3.3905 0.0000
0.0000 0.0000 20.6714
U Ta W
4 4 4
direct
0.0000 0.0000 0.2206
0.0000 0.0000 0.7794
0.5000 0.5000 0.2794
0.5000 0.5000 0.7206
0.0000 0.0000 0.3770
0.0000 0.0000 0.6230
0.5000 0.5000 0.1230
0.5000 0.5000 0.8770
0.0000 0.0000 0.0612
0.0000 0.0000 0.9388
0.5000 0.5000 0.4388
0.5000 0.5000 0.5612



(4)
CsIn4Bi (PBE-GGA, relaxed); space group = F-43m; calculated formation energy = 0.032 eV per atom
1.0
0.0000 4.6377 4.6377
4.6377 0.0000 4.6377
4.6377 4.6377 0.0000
Cs In Bi
1 4 1
direct
0.0000 0.0000 0.0000
0.3763 0.3763 0.3763
0.3763 0.3763 0.8711
0.3763 0.8711 0.3763
0.8711 0.3763 0.3763
0.7500 0.7500 0.7500



(5)
La2ZrAs4Pt3 (PBE-GGA, relaxed); space group = P-4m2; calculated formation energy = -0.990 eV per atom
1.0
4.4551 0.0000 0.0000
0.0000 4.4551 0.0000
0.0000 0.0000 10.5678
La Zr As Pt
2 1 4 3
direct
0.0000 0.5000 0.2287
0.5000 0.0000 0.7713
0.0000 0.0000 0.5000
0.0000 0.0000 0.0000
0.0000 0.5000 0.6440
0.5000 0.0000 0.3560
0.5000 0.5000 0.0000
0.0000 0.5000 0.8829
0.5000 0.0000 0.1171
0.5000 0.5000 0.5000



(6)
PmBiBr (PBE-GGA, relaxed); space group = C2/m; energy above the most stable polymorph in this dataset = 0.278 eV per formula unit; formation energy without anion corrections = -1.057 eV/atom
1.0
11.4059 0.0000 0.0000
0.0000 4.1078 0.0000
-5.4823 0.0000 10.6542
Pm Bi Br
4 4 4
direct
0.1559 0.0000 0.1736
0.3441 0.5000 0.8264
0.6559 0.5000 0.1736
0.8441 0.0000 0.8264
0.1207 0.5000 0.9454
0.3793 0.0000 0.0546
0.6207 0.0000 0.9454
0.8793 0.5000 0.0546
0.2073 0.0000 0.6437
0.2927 0.5000 0.3564
0.7073 0.5000 0.6437
0.7927 0.0000 0.3564



M_tot, record by record: 0.000, 0.001, 0.001, 0.000, 0.002, 0.000 μB/cell